(1)
# Sc3CdCl PBE optimized geometry
# - Energy above the most stable polymorph in this dataset: 0.00 kcal/mol of atoms
# - Total DFT energy (no corrections): -24.07 eV per cell
# - Magnetization: 0.00 μB per atom
# - DOS at the Fermi energy: 2.43 states/eV per cell
data_Sc3CdCl
_chemical_formula_sum 'Sc3 Cd1 Cl1'
_symmetry_space_group_name_H-M 'P m -3 m'
_symmetry_Int_Tables_number 221
_symmetry_space_group_name_Hall '-P 4 2 3'
_cell_length_a 4.790
_cell_length_b 4.790
_cell_length_c 4.790
_cell_angle_alpha 90.00
_cell_angle_beta 90.00
_cell_angle_gamma 90.00
loop_
_atom_site_label
_atom_site_type_symbol
_atom_site_fract_x
_atom_site_fract_y
_atom_site_fract_z
_atom_site_occupancy
Sc1 Sc 0.000 0.000 0.500 1
Cd1 Cd 0.500 0.500 0.500 1
Cl1 Cl 0.000 0.000 0.000 1



(2)
# Sc3CdCl PBE optimized geometry
# - Energy above the most stable polymorph in this dataset: 18.87 kcal/mol of atoms
# - Total DFT energy (no corrections): -19.98 eV per cell
# - Magnetization: 0.35 μB per atom
# - DOS at the Fermi energy: 7.18 states/eV per cell
data_Sc3CdCl
_chemical_formula_sum 'Sc3 Cd1 Cl1'
_symmetry_space_group_name_H-M 'P m -3 m'
_symmetry_Int_Tables_number 221
_symmetry_space_group_name_Hall '-P 4 2 3'
_cell_length_a 5.373
_cell_length_b 5.373
_cell_length_c 5.373
_cell_angle_alpha 90.00
_cell_angle_beta 90.00
_cell_angle_gamma 90.00
loop_
_atom_site_label
_atom_site_type_symbol
_atom_site_fract_x
_atom_site_fract_y
_atom_site_fract_z
_atom_site_occupancy
Sc1 Sc 0.000 0.000 0.500 1
Cd1 Cd 0.000 0.000 0.000 1
Cl1 Cl 0.500 0.500 0.500 1



(3)
# Sc2CdCl PBE optimized geometry
# - Energy above the most stable polymorph in this dataset: 0.71 kcal/mol of atoms
# - Total DFT energy (no corrections): -54.03 eV per cell
# - Magnetization: 0.07 μB per atom
# - DOS at the Fermi energy: 8.66 states/eV per cell
data_Sc2CdCl
_chemical_formula_sum 'Sc6 Cd3 Cl3'
_symmetry_space_group_name_H-M 'R 3 m'
_symmetry_Int_Tables_number 160
_symmetry_space_group_name_Hall 'R 3 -2"'
_cell_length_a 3.3913
_cell_length_b 3.3913
_cell_length_c 29.3901
_cell_angle_alpha 90.00
_cell_angle_beta 90.00
_cell_angle_gamma 120.00
loop_
_atom_site_label
_atom_site_type_symbol
_atom_site_fract_x
_atom_site_fract_y
_atom_site_fract_z
_atom_site_occupancy
Sc1 Sc 0.0000 0.0000 0.0000 1
Sc2 Sc 0.0000 0.0000 0.2479 1
Cd1 Cd 0.0000 0.0000 0.7483 1
Cl1 Cl 0.0000 0.0000 0.5222 1



(4)
# ScCdCl PBE optimized geometry
# - Energy above the most stable polymorph in this dataset: 7.47 kcal/mol of atoms
# - Total DFT energy (no corrections): -10.76 eV per cell
# - Magnetization: 0.00 μB per atom
# - DOS at the Fermi energy: 2.81 states/eV per cell
data_ScCdCl
_chemical_formula_sum 'Sc1 Cd1 Cl1'
_symmetry_space_group_name_H-M 'P -6 m 2'
_symmetry_Int_Tables_number 187
_symmetry_space_group_name_Hall 'P -6 2'
_cell_length_a 4.5092
_cell_length_b 4.5092
_cell_length_c 3.9480
_cell_angle_alpha 90.00
_cell_angle_beta 90.00
_cell_angle_gamma 120.00
loop_
_atom_site_label
_atom_site_type_symbol
_atom_site_fract_x
_atom_site_fract_y
_atom_site_fract_z
_atom_site_occupancy
Sc1 Sc 0.0000 0.0000 0.0000 1
Cd1 Cd 0.6667 0.3333 0.5000 1
Cl1 Cl 0.3333 0.6667 0.0000 1



(5)
# Sc2CdCl PBE optimized geometry
# - Energy above the most stable polymorph in this dataset: 3.79 kcal/mol of atoms
# - Total DFT energy (no corrections): -34.95 eV per cell
# - Magnetization: 0.00 μB per atom
# - DOS at the Fermi energy: 7.74 states/eV per cell
data_Sc2CdCl
_chemical_formula_sum 'Sc4 Cd2 Cl2'
_symmetry_space_group_name_H-M 'C 1 m 1'
_symmetry_Int_Tables_number 8
_symmetry_space_group_name_Hall 'C -2y'
_cell_length_a 12.348
_cell_length_b 3.205
_cell_length_c 4.902
_cell_angle_alpha 90.00
_cell_angle_beta 113.22
_cell_angle_gamma 90.00
loop_
_atom_site_label
_atom_site_type_symbol
_atom_site_fract_x
_atom_site_fract_y
_atom_site_fract_z
_atom_site_occupancy
Sc1 Sc 0.000 0.000 0.000 1
Sc2 Sc 0.244 0.500 0.243 1
Cd1 Cd 0.051 0.500 0.551 1
Cl1 Cl 0.314 0.000 0.814 1



(6)
# Sc2CdCl PBE optimized geometry
# - Energy above the most stable polymorph in this dataset: 3.00 kcal/mol of atoms
# - Total DFT energy (no corrections): -52.84 eV per cell
# - Magnetization: 0.00 μB per atom
# - DOS at the Fermi energy: 9.16 states/eV per cell
data_Sc2CdCl
_chemical_formula_sum 'Sc6 Cd3 Cl3'
_symmetry_space_group_name_H-M 'R -3 m'
_symmetry_Int_Tables_number 166
_symmetry_space_group_name_Hall '-R 3 2"'
_cell_length_a 3.4431
_cell_length_b 3.4431
_cell_length_c 28.6981
_cell_angle_alpha 90.00
_cell_angle_beta 90.00
_cell_angle_gamma 120.00
loop_
_atom_site_label
_atom_site_type_symbol
_atom_site_fract_x
_atom_site_fract_y
_atom_site_fract_z
_atom_site_occupancy
Sc1 Sc 0.0000 0.0000 0.0854 1
Cd1 Cd 0.0000 0.0000 0.5000 1
Cl1 Cl 0.0000 0.0000 0.0000 1